Entry 1:
The following is a PBE calculation of a relaxed structure of Ca3Tl2O6, from Alexandria.

abc: 3.3746 11.3853 16.7467
angles: 90.00 90.00 90.00
With the nearest neighbours (Å) after each atom.
Fractional positions:
O  0.5000  0.7838  0.5957  4 Tl 2.43-2.54, 2 Ca 2.46-2.52
O  0.0000  0.6918  0.2618  1 Tl 2.25, 4 Ca 2.38-2.50
O  0.5000  0.4565  0.1664  2 Tl 2.25, 2 Ca 2.33-2.35
O  0.5000  0.0435  0.6664  2 Tl 2.25, 2 Ca 2.33-2.35
O  0.5000  0.2162  0.4043  4 Tl 2.43-2.54, 2 Ca 2.46-2.52
O  0.5000  0.5435  0.8336  2 Tl 2.25, 2 Ca 2.33-2.35
O  0.5000  0.9565  0.3336  2 Tl 2.25, 2 Ca 2.33-2.35
O  0.0000  0.4472  0.3398  1 Tl 2.13
O  0.5000  0.2838  0.9043  4 Tl 2.43-2.54, 2 Ca 2.46-2.52
O  0.0000  0.9472  0.1602  1 Tl 2.13
O  0.5000  0.0000  0.0000  4 Tl 2.40
O  0.5000  0.7162  0.0957  4 Tl 2.43-2.54, 2 Ca 2.46-2.52
O  0.0000  0.2806  0.5679  1 Tl 2.13
O  0.0000  0.7194  0.4321  1 Tl 2.13
O  0.5000  0.5000  0.5000  4 Tl 2.40
O  0.0000  0.5000  0.0000  4 Ca 2.37
O  0.0000  0.1918  0.2382  1 Tl 2.25, 4 Ca 2.38-2.50
O  0.0000  0.5528  0.6602  1 Tl 2.13
O  0.0000  0.0000  0.5000  4 Ca 2.37
O  0.0000  0.7806  0.9321  1 Tl 2.13
O  0.0000  0.3082  0.7382  1 Tl 2.25, 4 Ca 2.38-2.50
O  0.0000  0.2194  0.0679  1 Tl 2.13
O  0.0000  0.0528  0.8398  1 Tl 2.13
O  0.0000  0.8082  0.7618  1 Tl 2.25, 4 Ca 2.38-2.50
Ca  0.5000  0.1715  0.7747  6 O 2.33-2.52
Ca  0.5000  0.3666  0.0398  6 O 2.35-2.46
Ca  0.5000  0.8666  0.4602  6 O 2.35-2.46
Ca  0.5000  0.6715  0.7253  6 O 2.33-2.52
Ca  0.5000  0.1334  0.5398  6 O 2.35-2.46
Ca  0.5000  0.1042  0.1453  7 O 2.47-2.71
Ca  0.5000  0.8958  0.8547  7 O 2.47-2.71
Ca  0.5000  0.3285  0.2747  6 O 2.33-2.52
Ca  0.5000  0.8285  0.2253  6 O 2.33-2.52
Ca  0.5000  0.6334  0.9602  6 O 2.35-2.46
Ca  0.5000  0.3958  0.6453  7 O 2.47-2.71
Ca  0.5000  0.6042  0.3547  7 O 2.47-2.71
Tl  0.0000  0.6348  0.5456  2 O 2.13
Tl  0.0000  0.3652  0.4544  2 O 2.13
Tl  0.0000  0.4153  0.8511  5 O 2.25-2.43
Tl  0.0000  0.9153  0.6489  5 O 2.25-2.43
Tl  0.0000  0.8652  0.0456  2 O 2.13
Tl  0.0000  0.5847  0.1489  5 O 2.25-2.43
Tl  0.0000  0.1348  0.9544  2 O 2.13
Tl  0.0000  0.0847  0.3511  5 O 2.25-2.43

Results
Crystal system: orthorhombic
DFT total energy, eV/atom: -5.6164


Entry 2:
The following is a PBE calculation of a relaxed structure of ScHN2, from Alexandria.

abc: 4.8424 4.8424 4.8424
angles: 41.25 41.25 41.25
With the nearest neighbours (Å) after each atom.
Fractional positions:
H  0.0000  0.0000  0.0000  2 N 1.23
Sc  0.5000  0.5000  0.5000  6 N 2.20
N  0.0926  0.0926  0.0926  1 H 1.23
N  0.9074  0.9074  0.9074  1 H 1.23

Results
Crystal system: trigonal
ΔE to the lowest computed polymorph, meV/atom: 0


Entry 3:
The following is a PBE calculation of a relaxed structure of Cd2InGaAg5, from Alexandria.

abc: 2.9522 8.8516 13.6604
angles: 90.00 90.00 99.60
With the nearest neighbours (Å) after each atom.
Fractional positions:
Ga  0.7250  0.4499  0.5318  6 Ag 2.73-2.99, 2 Ga 2.95
Ga  0.2750  0.5501  0.0318  6 Ag 2.73-2.99, 2 Ga 2.95
In  0.4560  0.9119  0.3851  5 Ag 2.84-2.94, 2 In 2.95
In  0.5440  0.0881  0.8851  5 Ag 2.84-2.94, 2 In 2.95
Ag  0.5678  0.1356  0.5360  1 Ga 2.74, 3 Ag 2.84-2.95, 1 In 2.84, 4 Cd 2.92-3.00
Ag  0.1189  0.2377  0.0444  1 Ga 2.73, 6 Ag 2.92-3.02, 2 In 2.94
Ag  0.4322  0.8644  0.0360  1 Ga 2.74, 3 Ag 2.84-2.95, 1 In 2.84, 4 Cd 2.92-3.00
Ag  0.2887  0.5774  0.3665  2 Ga 2.92, 1 In 2.93, 3 Cd 2.94-3.05, 4 Ag 2.95-3.05
Ag  0.2935  0.5869  0.7012  7 Ag 2.95-3.05, 3 Cd 2.96-3.00, 2 Ga 2.99
Ag  0.8811  0.7623  0.5444  1 Ga 2.73, 6 Ag 2.92-3.02, 2 In 2.94
Ag  0.5361  0.0721  0.1958  6 Ag 2.84-2.98, 1 In 2.94, 4 Cd 3.04-3.16
Ag  0.7113  0.4226  0.8665  2 Ga 2.92, 1 In 2.93, 3 Cd 2.94-3.05, 4 Ag 2.95-3.05
Ag  0.4639  0.9279  0.6958  6 Ag 2.84-2.98, 1 In 2.94, 4 Cd 3.04-3.16
Ag  0.7065  0.4131  0.2012  7 Ag 2.95-3.05, 3 Cd 2.96-3.00, 2 Ga 2.99
Cd  0.1206  0.2412  0.3574  7 Ag 2.94-3.04, 2 Cd 2.95, 2 In 3.25
Cd  0.8761  0.7522  0.2058  7 Ag 2.92-3.16, 2 Cd 2.95, 2 In 3.18
Cd  0.8794  0.7588  0.8574  7 Ag 2.94-3.04, 2 Cd 2.95, 2 In 3.25
Cd  0.1239  0.2478  0.7058  7 Ag 2.92-3.16, 2 Cd 2.95, 2 In 3.18

Results
Crystal system: orthorhombic
Formation energy from the elements, eV/atom: 0.019


no.,theoretical density (Mg/m³)
1,6.5
2,2.8
3,9.0